Record 1
ZnGa3Rh4 | PBE | optimized geometry Values from VASP.

Computed properties:
Its energy of formation is -0.669 eV per atom. The value obtained for the total moment is 0.00 Bohr magnetons per cell. The value obtained for the uncorrected energy is -5.64 eV per atom.

```
&SYSTEM
  ibrav = 0, nat = 8, ntyp = 3
/
ATOMIC_SPECIES
Zn 65.41 Zn.upf
Ga 69.72 Ga.upf
Rh 102.91 Rh.upf
CELL_PARAMETERS angstrom
3.027 0.000 0.000
0.000 4.284 0.000
0.000 0.000 8.568
ATOMIC_POSITIONS crystal
Zn 0.000 0.000 0.000
Ga 0.000 0.000 0.500
Ga 0.000 0.500 0.245
Ga 0.000 0.500 0.755
Rh 0.500 0.000 0.256
Rh 0.500 0.000 0.744
Rh 0.500 0.500 0.000
Rh 0.500 0.500 0.500
```


Record 2
ZnGa3Rh | PBE | optimized geometry Values from VASP.

Computed properties:
Its energy of formation is -0.252 eV per atom. The value obtained for the total moment is 0.00 Bohr magnetons per cell. Its energy above the most stable polymorph in this dataset is 20 meV/atom. The value obtained for the uncorrected energy is -3.79 eV per atom.

```
&SYSTEM
  ibrav = 0, nat = 10, ntyp = 3
/
ATOMIC_SPECIES
Zn 65.41 Zn.upf
Ga 69.72 Ga.upf
Rh 102.91 Rh.upf
CELL_PARAMETERS angstrom
1.921 -4.228 0.000
1.921 4.228 0.000
0.000 0.000 10.192
ATOMIC_POSITIONS crystal
Zn 0.000 0.000 0.000
Zn 0.000 0.000 0.500
Ga 0.295 0.705 0.604
Ga 0.295 0.705 0.896
Ga 0.383 0.617 0.250
Ga 0.617 0.383 0.750
Ga 0.705 0.295 0.104
Ga 0.705 0.295 0.396
Rh 0.081 0.919 0.250
Rh 0.919 0.081 0.750
```


Record 3
Zn2Ga2Rh | PBE | optimized geometry Values from VASP.

Computed properties:
Its energy of formation is 0.020 eV per atom. The value obtained for the total moment is 0.00 Bohr magnetons per cell. Its energy above the most stable polymorph in this dataset is 74 meV/atom. The value obtained for the uncorrected energy is -3.17 eV per atom.

```
&SYSTEM
  ibrav = 0, nat = 10, ntyp = 3
/
ATOMIC_SPECIES
Zn 65.41 Zn.upf
Ga 69.72 Ga.upf
Rh 102.91 Rh.upf
CELL_PARAMETERS angstrom
6.747 0.000 0.000
0.000 6.747 0.000
0.000 0.000 3.452
ATOMIC_POSITIONS crystal
Zn 0.132 0.368 0.000
Zn 0.368 0.868 0.000
Zn 0.632 0.132 0.000
Zn 0.868 0.632 0.000
Ga 0.173 0.673 0.500
Ga 0.327 0.173 0.500
Ga 0.673 0.827 0.500
Ga 0.827 0.327 0.500
Rh 0.000 0.000 0.000
Rh 0.500 0.500 0.000
```


> Among the records above, which one has the lowest energy of formation?

ZnGa3Rh4


> The highest energy of formation belongs to which entry?

Zn2Ga2Rh


> Which formula does entry 2 have?

ZnGa3Rh


What did the third record say?
Zn2Ga2Rh | PBE | optimized geometry Values from VASP.

Computed properties:
Its energy of formation is 0.020 eV per atom. The value obtained for the total moment is 0.00 Bohr magnetons per cell. Its energy above the most stable polymorph in this dataset is 74 meV/atom. The value obtained for the uncorrected energy is -3.17 eV per atom.

```
&SYSTEM
  ibrav = 0, nat = 10, ntyp = 3
/
ATOMIC_SPECIES
Zn 65.41 Zn.upf
Ga 69.72 Ga.upf
Rh 102.91 Rh.upf
CELL_PARAMETERS angstrom
6.747 0.000 0.000
0.000 6.747 0.000
0.000 0.000 3.452
ATOMIC_POSITIONS crystal
Zn 0.132 0.368 0.000
Zn 0.368 0.868 0.000
Zn 0.632 0.132 0.000
Zn 0.868 0.632 0.000
Ga 0.173 0.673 0.500
Ga 0.327 0.173 0.500
Ga 0.673 0.827 0.500
Ga 0.827 0.327 0.500
Rh 0.000 0.000 0.000
Rh 0.500 0.500 0.000
```